Record 1
Here is crystalline Cd4InBi at its relaxed geometry from Alexandria. Energies are from PBE.

Calculated values
D(E_F) = 2.131 states/eV per cell
Formation energy from the elements = 44 meV per atom
Total energy = -1.67 eV per atom
Energy relative to the lowest polymorph listed for this composition = 0.0 kJ per mole of atoms

Geometry as POSCAR:
```
Cd4InBi
1.0
4.4123 -0.0004 1.5655
0.0001 4.6098 0.0003
-0.1599 -0.0001 7.4541
Cd In Bi
4 1 1
Direct
0.1667 0.0027 0.9221 Cd
0.4980 0.0027 0.2588 Cd
0.9982 0.5028 0.2576 Cd
0.3412 0.5027 0.5712 Cd
0.8390 0.0027 0.5765 In
0.6647 0.5027 0.9249 Bi
```

---

Record 2
Here is crystalline Li2SiAuSe4 at its relaxed geometry from Alexandria. Energies are from PBE.

Calculated values
D(E_F) = 5.837 states/eV per cell
E_form (uncorrected) = -0.578 eV/atom
Total energy = -3.89 eV per atom

Geometry as POSCAR:
```
Li2SiAuSe4
1.0
6.2158 0.0019 -0.0034
0.0004 6.2152 -0.0031
-3.1052 -3.1060 4.9899
Li Si Au Se
2 1 1 4
Direct
0.4860 0.9860 0.9720 Li
0.2357 0.2358 0.4715 Li
0.7359 0.7359 0.4718 Si
0.9860 0.4860 0.9721 Au
0.6325 0.6452 0.7196 Se
0.8264 0.3846 0.2238 Se
0.3974 0.8392 0.2238 Se
0.0870 0.0743 0.7195 Se
```

---

Record 3
Here is crystalline BeMo2Os at its relaxed geometry from Alexandria. Energies are from PBE.

Calculated values
D(E_F) = 2.866 states/eV per cell
Formation energy from the elements = 152 meV per atom
Total energy = -9.00 eV per atom

Geometry as POSCAR:
```
BeMo2Os
1.0
-2.0629 2.7602 3.2715
-2.9462 -1.4890 -3.4176
-0.6079 -2.2238 1.4929
Be Mo Os
1 2 1
Direct
0.0000 0.5000 0.5000 Be
0.0000 0.0000 0.0000 Mo
0.5000 0.5000 0.0000 Mo
0.5000 0.0000 0.5000 Os
```

---

Record 4
Here is crystalline SnF2 at its relaxed geometry from Alexandria. Energies are from PBE.

Calculated values
D(E_F) = 0.000 states/eV per cell
E_form (uncorrected) = -2.267 eV/atom
Total energy = -4.85 eV per atom

Geometry as POSCAR:
```
SnF2
1.0
-2.8153 -3.4118 0.2640
0.4839 -3.5297 -3.2646
2.2530 -4.4388 3.8510
Sn F
2 4
Direct
0.4688 0.7887 0.2737 Sn
0.5312 0.2113 0.7263 Sn
0.8473 0.9368 0.3685 F
0.3071 0.2447 0.1411 F
0.6929 0.7553 0.8589 F
0.1527 0.0632 0.6315 F
```

---

Record 5
Here is crystalline Pa4CoN7 at its relaxed geometry from Alexandria. Energies are from PBE.

Calculated values
D(E_F) = 1.784 states/eV per cell
E_form (uncorrected) = -1.497 eV/atom
Total energy = -10.11 eV per atom

Geometry as POSCAR:
```
Pa4CoN7
1.0
3.6771 0.0000 1.0830
1.7591 6.3027 0.8112
-0.0149 -0.0574 6.8345
Pa Co N
4 1 7
Direct
0.5774 0.2160 0.6292 Pa
0.4226 0.7840 0.3708 Pa
0.7450 0.6690 0.8410 Pa
0.2550 0.3310 0.1590 Pa
0.0000 0.0000 0.0000 Co
0.8012 0.8555 0.5421 N
0.1988 0.1445 0.4579 N
0.0951 0.7011 0.1086 N
0.9049 0.2989 0.8914 N
0.3699 0.5770 0.6832 N
0.5000 0.0000 0.0000 N
0.6301 0.4230 0.3168 N
```

---

Record 6
Here is crystalline SrAc2Pr3Te6 at its relaxed geometry from Alexandria. Energies are from PBE.

Calculated values
D(E_F) = 5.884 states/eV per cell
E_form (uncorrected) = -1.500 eV/atom
Total energy = -5.09 eV per atom

Geometry as POSCAR:
```
SrAc2Pr3Te6
1.0
4.6007 0.0000 0.0000
0.0000 9.3142 0.3242
-2.3003 -2.6929 9.7310
Sr Ac Pr Te
1 2 3 6
Direct
0.5000 0.0000 0.0000 Sr
0.8315 0.6645 0.6631 Ac
0.1685 0.3355 0.3369 Ac
0.5000 0.5000 0.0000 Pr
0.8319 0.1709 0.6639 Pr
0.1681 0.8291 0.3361 Pr
0.3331 0.9261 0.6662 Te
0.6627 0.5882 0.3254 Te
0.6669 0.0739 0.3338 Te
0.9979 0.2525 0.9958 Te
0.0021 0.7475 0.0042 Te
0.3373 0.4118 0.6746 Te
```